Record 1
# VZnTcN2, optimized geometry, DFT PBE
# electronic total energy = -32.544 eV per cell
# crystal system = tetragonal
# space-group type = P4/mmm, No. 123
# raw formation energy = 0.97 eV per atom
data_VZnTcN2
_chemical_formula_sum 'V1 Zn1 Tc1 N2'
_space_group_name_H-M_alt 'P 1'
_space_group_IT_number 1
_cell_length_a 3.764
_cell_length_b 3.764
_cell_length_c 4.867
_cell_angle_alpha 90.00
_cell_angle_beta 90.00
_cell_angle_gamma 90.00
loop_
_space_group_symop_operation_xyz
'x,y,z'
loop_
_atom_site_label
_atom_site_type_symbol
_atom_site_fract_x
_atom_site_fract_y
_atom_site_fract_z
V1 V 0.000 0.000 0.000
Zn1 Zn 0.500 0.500 0.500
Tc1 Tc 0.000 0.000 0.500
N1 N 0.000 0.500 0.000
N2 N 0.500 0.000 0.000

Record 2
# VZnTc2N, optimized geometry, DFT PBE
# electronic total energy = -40.407 eV per cell
# crystal system = tetragonal
# space-group type = P4/mmm, No. 123
# raw formation energy = -0.19 eV per atom
data_VZnTc2N
_chemical_formula_sum 'V1 Zn1 Tc2 N1'
_space_group_name_H-M_alt 'P 1'
_space_group_IT_number 1
_cell_length_a 4.051
_cell_length_b 4.051
_cell_length_c 3.903
_cell_angle_alpha 90.00
_cell_angle_beta 90.00
_cell_angle_gamma 90.00
loop_
_space_group_symop_operation_xyz
'x,y,z'
loop_
_atom_site_label
_atom_site_type_symbol
_atom_site_fract_x
_atom_site_fract_y
_atom_site_fract_z
V1 V 0.000 0.000 0.000
Zn1 Zn 0.500 0.500 0.000
Tc1 Tc 0.000 0.500 0.500
Tc2 Tc 0.500 0.000 0.500
N1 N 0.000 0.000 0.500

Record 3
# Tc3W3N, optimized geometry, DFT PBE
# electronic total energy = -310.997 eV per cell
# crystal system = cubic
# space-group type = Fd-3m, No. 227
# raw formation energy = 0.08 eV per atom
data_Tc3W3N
_chemical_formula_sum 'Tc12 W12 N4'
_space_group_name_H-M_alt 'P 1'
_space_group_IT_number 1
_cell_length_a 8.216
_cell_length_b 8.216
_cell_length_c 8.216
_cell_angle_alpha 60.00
_cell_angle_beta 60.00
_cell_angle_gamma 60.00
loop_
_space_group_symop_operation_xyz
'x,y,z'
loop_
_atom_site_label
_atom_site_type_symbol
_atom_site_fract_x
_atom_site_fract_y
_atom_site_fract_z
Tc1 Tc 0.000 0.000 0.000
Tc2 Tc 0.000 0.000 0.500
Tc3 Tc 0.000 0.500 0.000
Tc4 Tc 0.131 0.790 0.790
Tc5 Tc 0.210 0.210 0.210
Tc6 Tc 0.210 0.210 0.869
Tc7 Tc 0.210 0.869 0.210
Tc8 Tc 0.500 0.000 0.000
Tc9 Tc 0.790 0.131 0.790
Tc10 Tc 0.790 0.790 0.131
Tc11 Tc 0.790 0.790 0.790
Tc12 Tc 0.869 0.210 0.210
W1 W 0.184 0.184 0.566
W2 W 0.184 0.566 0.184
W3 W 0.184 0.566 0.566
W4 W 0.434 0.434 0.816
W5 W 0.434 0.816 0.434
W6 W 0.434 0.816 0.816
W7 W 0.566 0.184 0.184
W8 W 0.566 0.184 0.566
W9 W 0.566 0.566 0.184
W10 W 0.816 0.434 0.434
W11 W 0.816 0.434 0.816
W12 W 0.816 0.816 0.434
N1 N 0.000 0.500 0.500
N2 N 0.500 0.000 0.500
N3 N 0.500 0.500 0.000
N4 N 0.500 0.500 0.500

Record 4
# TcWN3, optimized geometry, DFT PBE
# electronic total energy = -41.202 eV per cell
# crystal system = cubic
# space-group type = Pm-3m, No. 221
# raw formation energy = 1.42 eV per atom
data_TcWN3
_chemical_formula_sum 'Tc1 W1 N3'
_space_group_name_H-M_alt 'P 1'
_space_group_IT_number 1
_cell_length_a 3.820
_cell_length_b 3.820
_cell_length_c 3.820
_cell_angle_alpha 90.00
_cell_angle_beta 90.00
_cell_angle_gamma 90.00
loop_
_space_group_symop_operation_xyz
'x,y,z'
loop_
_atom_site_label
_atom_site_type_symbol
_atom_site_fract_x
_atom_site_fract_y
_atom_site_fract_z
Tc1 Tc 0.000 0.000 0.000
W1 W 0.500 0.500 0.500
N1 N 0.000 0.000 0.500
N2 N 0.000 0.500 0.000
N3 N 0.500 0.000 0.000

Record 5
# Tc3WN, optimized geometry, DFT PBE
# electronic total energy = -52.281 eV per cell
# crystal system = cubic
# space-group type = Pm-3m, No. 221
# excess energy over the best structure of this formula in the dataset = 0 meV/atom
# raw formation energy = 0.02 eV per atom
data_Tc3WN
_chemical_formula_sum 'Tc3 W1 N1'
_space_group_name_H-M_alt 'P 1'
_space_group_IT_number 1
_cell_length_a 4.050
_cell_length_b 4.050
_cell_length_c 4.050
_cell_angle_alpha 90.00
_cell_angle_beta 90.00
_cell_angle_gamma 90.00
loop_
_space_group_symop_operation_xyz
'x,y,z'
loop_
_atom_site_label
_atom_site_type_symbol
_atom_site_fract_x
_atom_site_fract_y
_atom_site_fract_z
Tc1 Tc 0.000 0.000 0.500
Tc2 Tc 0.000 0.500 0.000
Tc3 Tc 0.500 0.000 0.000
W1 W 0.500 0.500 0.500
N1 N 0.000 0.000 0.000

Record 6
# TcW3N, optimized geometry, DFT PBE
# electronic total energy = -42.142 eV per cell
# crystal system = cubic
# space-group type = Pm-3m, No. 221
# excess energy over the best structure of this formula in the dataset = 3027 meV/atom
# raw formation energy = 3.08 eV per atom
data_TcW3N
_chemical_formula_sum 'Tc1 W3 N1'
_space_group_name_H-M_alt 'P 1'
_space_group_IT_number 1
_cell_length_a 4.686
_cell_length_b 4.686
_cell_length_c 4.686
_cell_angle_alpha 90.00
_cell_angle_beta 90.00
_cell_angle_gamma 90.00
loop_
_space_group_symop_operation_xyz
'x,y,z'
loop_
_atom_site_label
_atom_site_type_symbol
_atom_site_fract_x
_atom_site_fract_y
_atom_site_fract_z
Tc1 Tc 0.000 0.000 0.000
W1 W 0.000 0.000 0.500
W2 W 0.000 0.500 0.000
W3 W 0.500 0.000 0.000
N1 N 0.500 0.500 0.500

| no. | calculated volume (Å³ per atom) |
| --- | --- |
| 1 | 13.79 |
| 2 | 12.81 |
| 3 | 14.00 |
| 4 | 11.15 |
| 5 | 13.29 |
| 6 | 20.58 |